Entry from Alexandria: an optimized crystal structure of Cs2TlBH (GGA-PBEsol).

Symmetry = No. 123
Electronic total energy = -2.30 eV/atom
V = 41.26 A^3/atom

Geometry as extended XYZ:
```
5
Lattice="4.117 0.000 0.000 0.000 7.078 0.000 0.000 0.000 7.078" Properties=species:S:1:pos:R:3 pbc="T T T"
Cs 0.000 0.000 3.539
Cs 0.000 3.539 0.000
H 2.059 3.539 3.539
Tl 0.000 0.000 0.000
B 2.059 0.000 0.000
```

***

Entry from Alexandria: an optimized crystal structure of CsHf2B2 (GGA-PBEsol).

Symmetry = No. 127
Formation enthalpy at 0 K = 3.8 eV/f.u.
V = 16.91 A^3/atom

Geometry as extended XYZ:
```
10
Lattice="2.933 0.000 0.000 0.000 7.594 0.000 0.000 0.000 7.594" Properties=species:S:1:pos:R:3 pbc="T T T"
Cs 0.000 0.000 0.000
Cs 0.000 3.797 3.797
B 1.467 1.140 4.936
B 1.467 4.936 6.454
B 1.467 6.454 2.657
B 1.467 2.657 1.140
Hf 0.000 2.768 6.565
Hf 0.000 6.565 4.825
Hf 0.000 4.825 1.028
Hf 0.000 1.028 2.768
```

***

Entry from Alexandria: an optimized crystal structure of Cs2NaHfB (GGA-PBEsol).

Symmetry = No. 123
Formation enthalpy at 0 K = 10.9 eV/f.u.
V = 49.71 A^3/atom

Geometry as extended XYZ:
```
5
Lattice="-5.061 0.757 -2.836 -1.799 -6.058 1.594 -2.730 2.251 5.474" Properties=species:S:1:pos:R:3 pbc="T T T"
Cs -1.365 1.126 2.737
Cs -0.900 -3.029 0.797
Na 0.000 0.000 0.000
B -4.795 -1.525 2.116
Hf -2.530 0.378 -1.418
```

***

Entry from Alexandria: an optimized crystal structure of CsRbHfB2 (GGA-PBEsol).

Symmetry = No. 123
Formation enthalpy at 0 K = 6.8 eV/f.u.
V = 25.52 A^3/atom

Geometry as extended XYZ:
```
5
Lattice="4.679 0.000 0.000 0.000 4.679 0.000 0.000 0.000 5.827" Properties=species:S:1:pos:R:3 pbc="T T T"
Cs 2.340 2.340 2.913
B 0.000 2.340 0.000
B 2.340 0.000 0.000
Hf 0.000 0.000 0.000
Rb 0.000 0.000 2.913
```

***

Entry from Alexandria: an optimized crystal structure of CsHfRe2B (GGA-PBEsol).

Symmetry = No. 123
Formation enthalpy at 0 K = 7.5 eV/f.u.
V = 18.29 A^3/atom

Geometry as extended XYZ:
```
5
Lattice="4.168 0.000 0.000 0.000 4.168 0.000 0.000 0.000 5.264" Properties=species:S:1:pos:R:3 pbc="T T T"
Cs 0.000 0.000 2.632
Re 0.000 2.084 0.000
Re 2.084 0.000 0.000
B 0.000 0.000 0.000
Hf 2.084 2.084 2.632
```

***

Entry from Alexandria: an optimized crystal structure of CsHg3B (GGA-PBEsol).

Symmetry = No. 221
Formation enthalpy at 0 K = 7.5 eV/f.u.
V = 62.78 A^3/atom

Geometry as extended XYZ:
```
5
Lattice="6.796 0.000 0.000 0.000 6.796 0.000 0.000 0.000 6.796" Properties=species:S:1:pos:R:3 pbc="T T T"
Cs 0.000 0.000 0.000
B 3.398 3.398 3.398
Hg 0.000 3.398 0.000
Hg 0.000 0.000 3.398
Hg 3.398 0.000 0.000
```

***

Entry from Alexandria: an optimized crystal structure of Cs2HgB9Se9 (GGA-PBEsol).

Symmetry = No. 2
Raw formation energy = -41.3 kJ per mole of atoms
V = 25.27 A^3/atom

Geometry as extended XYZ:
```
42
Lattice="9.936 -0.052 0.032 -4.780 9.809 -0.282 -0.044 -2.529 10.987" Properties=species:S:1:pos:R:3 pbc="T T T"
Cs -1.909 5.685 10.696
Cs 7.020 1.543 0.041
Cs 4.951 5.113 5.112
Cs 0.160 2.115 5.626
B 0.819 7.065 4.703
B 4.292 0.163 6.035
B -0.846 7.518 4.298
B 5.957 -0.290 6.439
B 0.527 8.404 3.595
B 4.584 -1.176 7.143
B 1.811 8.541 4.807
B 3.300 -1.313 5.931
B 1.229 7.742 6.291
B 3.882 -0.513 4.447
B -0.401 7.124 5.973
B 5.513 0.105 4.764
B -0.287 4.909 3.064
B 5.399 2.320 7.674
B 0.841 5.297 7.888
B 4.270 1.931 2.850
B 3.076 8.361 2.159
B 2.035 -1.133 8.579
Hg 3.450 4.521 9.822
Hg 1.662 2.708 0.915
Se 1.403 5.309 3.952
Se 3.709 1.919 6.785
Se -1.793 6.173 3.156
Se 6.904 1.055 7.582
Se 1.182 8.234 1.715
Se 3.930 -1.005 9.023
Se 3.657 8.540 4.029
Se 1.454 -1.312 6.709
Se 2.270 6.612 7.579
Se 2.841 0.616 3.158
Se -0.887 5.463 6.979
Se 5.998 1.765 3.758
Se -0.593 3.231 2.156
Se 5.704 3.997 8.582
Se 4.460 8.414 0.813
Se 0.651 -1.185 9.924
Se 1.089 3.819 9.110
Se 4.022 3.409 1.628
```

***

Entry from Alexandria: an optimized crystal structure of CsBIN2 (GGA-PBEsol).

Symmetry = No. 123
Raw formation energy = 175.5 kJ per mole of atoms
V = 19.78 A^3/atom

Geometry as extended XYZ:
```
5
Lattice="-3.265 -2.927 -1.152 1.993 -0.640 -4.022 2.583 -3.611 1.854" Properties=species:S:1:pos:R:3 pbc="T T T"
Cs 0.655 -3.589 -1.660
I 1.292 -1.806 0.927
B 0.000 0.000 0.000
N 0.996 -0.320 -2.011
N -1.633 -1.464 -0.576
```

***

Entry from Alexandria: an optimized crystal structure of CsBSbI2 (GGA-PBEsol).

Symmetry = No. 123
Raw formation energy = 147.4 kJ per mole of atoms
V = 71.13 A^3/atom

Geometry as extended XYZ:
```
5
Lattice="-3.592 -1.623 -5.849 -1.293 -6.436 2.579 -6.011 2.418 3.021" Properties=species:S:1:pos:R:3 pbc="T T T"
Cs 0.000 0.000 0.000
I -0.646 -3.218 1.290
I -1.796 -0.811 -2.925
B -5.448 -2.821 -0.125
Sb -3.005 1.209 1.510
```

***

Entry from Alexandria: an optimized crystal structure of CsZr6BI14 (GGA-PBEsol).

Symmetry = No. 64
Raw formation energy = -103.8 kJ per mole of atoms
V = 32.64 A^3/atom

Geometry as extended XYZ:
```
44
Lattice="10.610 -0.150 0.000 -1.014 10.563 0.000 0.000 0.000 12.833" Properties=species:S:1:pos:R:3 pbc="T T T"
Cs 0.000 0.000 0.000
Cs 4.798 5.206 6.416
Zr 8.285 8.989 5.124
Zr 3.487 3.783 1.293
Zr 2.922 5.666 11.428
Zr 1.312 1.423 7.709
Zr 0.862 10.103 5.012
Zr 4.187 7.039 1.405
Zr 6.674 4.746 1.405
Zr 9.999 1.682 5.012
Zr 8.734 0.309 7.821
Zr 6.110 6.629 11.540
Zr 5.409 3.374 11.428
Zr -0.403 8.730 7.821
B 4.798 5.206 0.000
B 0.000 0.000 6.416
I 4.189 7.478 9.603
I 5.407 2.934 3.229
I 9.176 4.125 3.208
I 3.814 1.190 6.346
I 3.247 3.524 9.480
I 0.984 4.016 12.762
I 1.551 1.683 3.063
I 7.685 2.545 6.416
I 6.349 6.889 3.353
I 8.721 6.514 6.487
I 1.911 7.867 6.416
I -0.405 8.291 3.187
I 5.673 9.105 0.071
I 0.420 6.287 9.625
I 7.112 4.784 9.603
I 7.723 2.511 0.000
I 3.364 9.482 3.208
I 8.612 6.396 0.071
I 2.484 5.628 3.229
I 0.875 3.899 6.346
I 1.873 7.902 0.000
I 8.296 0.271 3.187
I 5.782 9.223 6.487
I 1.300 10.141 9.646
I 8.046 8.730 9.770
I 10.001 2.122 9.646
I 3.923 1.308 12.762
I 6.232 0.931 9.625
```

***

Entry from Alexandria: an optimized crystal structure of CsBIr2 (GGA-PBEsol).

Symmetry = No. 122
Formation enthalpy at 0 K = 3.5 eV/f.u.
V = 22.18 A^3/atom

Geometry as extended XYZ:
```
8
Lattice="-2.123 5.318 -1.210 -1.870 -2.651 5.783 2.614 2.131 4.783" Properties=species:S:1:pos:R:3 pbc="T T T"
Cs -0.567 4.261 5.572
Cs 0.000 0.000 0.000
B -0.812 0.537 3.785
B 0.246 3.725 1.787
Ir -1.306 1.025 5.627
Ir 0.177 1.651 8.119
Ir -1.237 4.878 2.379
Ir -0.391 2.042 2.588
```

***

Entry from Alexandria: an optimized crystal structure of CsLaMgB2 (GGA-PBEsol).

Symmetry = No. 123
Formation enthalpy at 0 K = 11.5 eV/f.u.
V = 28.07 A^3/atom

Geometry as extended XYZ:
```
5
Lattice="-2.556 1.610 3.892 1.923 -3.604 2.754 4.398 3.460 1.457" Properties=species:S:1:pos:R:3 pbc="T T T"
Cs 0.000 0.000 0.000
Mg 1.882 0.733 4.051
B 0.961 -1.802 1.377
B -1.278 0.805 1.946
La 2.199 1.730 0.729
```

***

Entry from Alexandria: an optimized crystal structure of Cs2LaBPd (GGA-PBEsol).

Symmetry = No. 123
Formation enthalpy at 0 K = 5.8 eV/f.u.
V = 41.90 A^3/atom

Geometry as extended XYZ:
```
5
Lattice="5.433 0.000 0.000 0.000 6.209 0.000 0.000 0.000 6.209" Properties=species:S:1:pos:R:3 pbc="T T T"
Cs 0.000 0.000 3.105
Cs 0.000 3.105 0.000
B 2.717 3.105 3.105
Pd 0.000 0.000 0.000
La 2.717 0.000 0.000
```

***

Entry from Alexandria: an optimized crystal structure of CsLiB3 (GGA-PBEsol).

Symmetry = No. 221
Formation enthalpy at 0 K = 15.2 eV/f.u.
V = 24.53 A^3/atom

Geometry as extended XYZ:
```
5
Lattice="4.969 0.000 0.000 0.000 4.969 0.000 0.000 0.000 4.969" Properties=species:S:1:pos:R:3 pbc="T T T"
Cs 0.000 0.000 0.000
B 0.000 2.484 0.000
B 0.000 0.000 2.484
B 2.484 0.000 0.000
Li 2.484 2.484 2.484
```

***

Entry from Alexandria: an optimized crystal structure of Cs3NaLi2B2O6 (GGA-PBEsol).

Symmetry = No. 2
Raw formation energy = -198.6 kJ per mole of atoms
V = 16.57 A^3/atom

Geometry as extended XYZ:
```
28
Lattice="-1.603 6.383 1.103 -5.817 -2.658 -3.422 -1.966 -4.161 9.116" Properties=species:S:1:pos:R:3 pbc="T T T"
Cs -4.407 -0.437 8.220
Cs -6.392 1.245 3.226
Cs -4.979 0.000 -1.423
Cs -2.994 -1.682 3.571
Cs -7.449 -0.667 6.136
Cs -1.937 0.231 0.662
Na -6.141 -1.820 1.343
Na -3.245 1.384 5.454
Li -2.330 -2.143 6.901
Li -5.328 -3.298 5.141
Li -4.058 2.862 1.656
Li -7.056 1.706 -0.103
B -6.957 -2.922 3.683
B -3.398 -3.896 6.090
B -2.429 2.485 3.115
B -5.988 3.459 0.708
O -4.186 -2.902 6.687
O -7.190 -3.748 4.803
O -5.727 -2.843 -0.754
O -2.196 3.312 1.994
O -1.920 -0.465 5.976
O -5.904 -2.023 3.736
O -5.200 2.465 0.110
O -7.466 0.029 0.821
O -5.554 1.678 6.208
O -3.659 2.406 7.551
O -3.482 1.587 3.061
O -3.832 -2.115 0.589
```

***

Entry from Alexandria: an optimized crystal structure of Cs2Li3B5O10 (GGA-PBEsol).

Symmetry = No. 20
Raw formation energy = -227.6 kJ per mole of atoms
V = 13.43 A^3/atom

Geometry as extended XYZ:
```
40
Lattice="6.858 0.006 0.000 -2.945 6.193 0.000 0.000 0.000 12.641" Properties=species:S:1:pos:R:3 pbc="T T T"
Cs 2.720 4.309 6.321
Cs 1.193 1.891 0.000
Cs 4.649 1.401 3.160
Cs -0.736 4.799 9.481
Li 0.231 4.188 3.160
Li 3.681 2.011 9.481
Li 0.562 5.101 0.557
Li 3.350 1.098 6.878
Li 4.363 2.703 12.084
Li -0.450 3.497 5.763
B -2.017 5.607 3.160
B 5.930 0.592 9.481
B 2.898 4.430 2.080
B 1.015 1.770 8.400
B 2.752 4.522 10.562
B 1.161 1.678 4.241
B -0.742 5.912 5.332
B 4.654 0.288 11.652
B 5.656 1.875 7.310
B -1.743 4.325 0.989
O 1.583 4.341 1.925
O 2.329 1.859 8.245
O 3.237 3.297 10.717
O 0.676 2.903 4.396
O -1.273 5.093 4.338
O 5.186 1.107 10.659
O 5.145 1.042 8.303
O -1.232 5.158 1.982
O 0.837 0.873 3.156
O 3.075 5.326 9.477
O 0.428 1.132 9.486
O 3.485 5.068 3.165
O 0.122 2.338 7.445
O 3.791 3.862 1.124
O 2.058 1.116 5.197
O 1.855 5.084 11.517
O -0.082 5.403 6.374
O 3.995 0.797 0.053
O 4.912 2.251 6.268
O -1.000 3.949 12.588
```

***

Entry from Alexandria: an optimized crystal structure of CsLi5B2O6 (GGA-PBEsol).

Symmetry = No. 15
Raw formation energy = -214.2 kJ per mole of atoms
V = 11.60 A^3/atom

Geometry as extended XYZ:
```
28
Lattice="7.502 0.055 -0.043 -1.572 7.335 0.043 -3.307 -3.420 5.896" Properties=species:S:1:pos:R:3 pbc="T T T"
Cs 2.921 1.492 1.463
Cs -0.299 2.477 4.433
Li -1.165 -0.687 4.540
Li 4.366 -1.263 3.142
Li 3.788 4.657 1.356
Li 4.301 1.000 4.283
Li 0.000 0.000 0.000
Li -1.743 5.232 2.754
Li -1.679 2.969 1.613
Li 6.011 5.084 0.216
Li 2.097 -1.683 2.927
Li -3.388 -1.115 5.681
B 0.974 4.423 1.125
B -3.581 3.743 4.095
B 1.648 -0.453 4.771
B 6.204 0.227 1.801
O -0.808 1.303 1.207
O -0.301 4.422 1.710
O 2.924 -0.453 4.186
O 0.650 -1.176 4.134
O -2.285 -2.347 4.637
O 4.908 6.316 1.260
O 4.651 3.723 2.890
O 3.431 2.667 4.689
O -2.101 0.305 5.859
O 4.724 3.665 0.037
O -2.029 0.247 3.007
O 1.972 5.146 1.762
```

***

Entry from Alexandria: an optimized crystal structure of CsNi2BMo (GGA-PBEsol).

Symmetry = No. 123
Formation enthalpy at 0 K = 4.8 eV/f.u.
V = 14.59 A^3/atom

Geometry as extended XYZ:
```
5
Lattice="-0.696 3.244 -2.373 -3.262 0.951 2.257 2.524 2.455 2.614" Properties=species:S:1:pos:R:3 pbc="T T T"
Cs -0.717 3.325 1.249
Ni -1.631 0.476 1.128
Ni -0.348 1.622 -1.187
Mo 1.262 1.227 1.307
B 0.000 0.000 0.000
```

***

Entry from Alexandria: an optimized crystal structure of CsZr2BMo (GGA-PBEsol).

Symmetry = No. 123
Formation enthalpy at 0 K = 5.8 eV/f.u.
V = 23.00 A^3/atom

Geometry as extended XYZ:
```
5
Lattice="4.431 0.000 0.000 0.000 5.094 0.000 0.000 0.000 5.094" Properties=species:S:1:pos:R:3 pbc="T T T"
Cs 2.215 2.547 2.547
Mo 0.000 0.000 0.000
B 2.215 0.000 0.000
Zr 0.000 0.000 2.547
Zr 0.000 2.547 0.000
```